! SrBePt, PBEsol geometry, DFT meta-GGA SCAN; values from VASP
&SYSTEM
  ibrav = 0, nat = 3, ntyp = 3
/
ATOMIC_SPECIES
Sr 87.62 Sr.upf
Be 9.01 Be.upf
Pt 195.08 Pt.upf
ATOMIC_POSITIONS angstrom
Sr 0.0000 0.0000 0.0000
Be 0.0000 2.2731 2.2802
Pt 1.9686 1.1365 2.2802
CELL_PARAMETERS angstrom
3.9371 0.0000 0.0000
-1.9686 3.4097 0.0000
0.0000 0.0000 4.5605
! Uncorrected energy, eV per cell: -99.1
! Space-group type: P-6m2, No. 187